# 1
# La2Nd3HoTe6, optimized geometry, DFT PBE
data_La2Nd3HoTe6
_cell_length_a 10.0460
_cell_length_b 10.0460
_cell_length_c 9.0498
_cell_angle_alpha 102.69
_cell_angle_beta 102.69
_cell_angle_gamma 25.77
_space_group_name_H-M_alt 'P 1'
_space_group_IT_number 1
loop_
_space_group_symop_operation_xyz
'x,y,z'
loop_
_atom_site_label
_atom_site_fract_x
_atom_site_fract_y
_atom_site_fract_z
La1 0.1669 0.1669 0.3345
La2 0.8331 0.8331 0.6655
Nd1 0.1714 0.1714 0.8356
Nd2 0.5000 0.5000 0.5000
Nd3 0.8286 0.8286 0.1644
Ho1 0.5000 0.5000 0.0000
Te1 0.0031 0.0031 0.7612
Te2 0.3348 0.3348 0.4134
Te3 0.3391 0.3391 0.9224
Te4 0.6609 0.6609 0.0776
Te5 0.6652 0.6652 0.5866
Te6 0.9969 0.9969 0.2388
# - E_form (uncorrected) (kJ/mol of formula units) = -1680
# - DOS at the Fermi energy (states/eV/f.u.) = 7.198
# - magnetic moment (μB per atom) = 0.000
# - total DFT energy (no corrections) (eV/atom) = -5.42

***

# 2
# La4Nd3HoTe8, optimized geometry, DFT PBE
data_La4Nd3HoTe8
_cell_length_a 9.0290
_cell_length_b 9.0290
_cell_length_c 9.0290
_cell_angle_alpha 60.20
_cell_angle_beta 60.20
_cell_angle_gamma 60.20
_space_group_name_H-M_alt 'P 1'
_space_group_IT_number 1
loop_
_space_group_symop_operation_xyz
'x,y,z'
loop_
_atom_site_label
_atom_site_fract_x
_atom_site_fract_y
_atom_site_fract_z
La1 0.0000 0.0000 0.0000
La2 0.0000 0.5000 0.5000
La3 0.5000 0.0000 0.5000
La4 0.5000 0.5000 0.0000
Nd1 0.0000 0.0000 0.5000
Nd2 0.0000 0.5000 0.0000
Nd3 0.5000 0.0000 0.0000
Ho1 0.5000 0.5000 0.5000
Te1 0.2484 0.2484 0.2484
Te2 0.2534 0.7434 0.7434
Te3 0.2566 0.2566 0.7466
Te4 0.2566 0.7466 0.2566
Te5 0.7434 0.2534 0.7434
Te6 0.7434 0.7434 0.2534
Te7 0.7466 0.2566 0.2566
Te8 0.7516 0.7516 0.7516
# - E_form (uncorrected) (kJ/mol of formula units) = -2294
# - DOS at the Fermi energy (states/eV/f.u.) = 12.605
# - magnetic moment (μB per atom) = 0.000
# - total DFT energy (no corrections) (eV/atom) = -5.47

***

# 3
# LaNdHoTh, optimized geometry, DFT PBE
data_LaNdHoTh
_cell_length_a 3.6198
_cell_length_b 3.6198
_cell_length_c 10.3513
_cell_angle_alpha 90.00
_cell_angle_beta 90.00
_cell_angle_gamma 90.00
_space_group_name_H-M_alt 'P 1'
_space_group_IT_number 1
loop_
_space_group_symop_operation_xyz
'x,y,z'
loop_
_atom_site_label
_atom_site_fract_x
_atom_site_fract_y
_atom_site_fract_z
La1 0.0000 0.0000 0.0000
Nd1 0.5000 0.5000 0.7295
Ho1 0.5000 0.5000 0.2580
Th1 0.0000 0.0000 0.4894
# - calculated formation energy (eV per atom) = 0.028
# - DOS at the Fermi energy (states/eV/f.u.) = 5.233
# - magnetic moment (μB per atom) = 0.000
# - total DFT energy (no corrections) (eV/atom) = -5.39
# - ΔE to the lowest computed polymorph (eV per formula unit) = 0.00

***

no.,V (A^3/atom)
1,32.23
2,32.67
3,33.91